[1]
First-principles (PBE) data for a relaxed structure of Na2ScTlSb, as listed in Alexandria via LeMat-Bulk.

Unit cell a=5.750 b=5.750 c=5.553 alpha=90.00 beta=90.00 gamma=90.00
Element x y z (fractional)
Na: 0.000 0.500 0.000
Na: 0.500 0.000 0.000
Sc: 0.000 0.000 0.000
Tl: 0.000 0.000 0.500
Sb: 0.500 0.500 0.500

## Properties
ΔE to the lowest computed polymorph: 0.448 eV per atom
uncorrected formation energy: 3.6 eV per formula unit
SG: P4/mmm, No. 123
calculated total energy: -2.3654 eV/atom
crystal system: tetragonal
DOS(E_F): 1.047 states/eV/atom

=====

[2]
First-principles (PBE) data for a relaxed structure of Na7SbSe6, as listed in Alexandria via LeMat-Bulk.

Unit cell a=11.510 b=11.510 c=11.510 alpha=142.51 beta=100.99 gamma=90.92
Element x y z (fractional)
Na: 0.029 0.206 0.235
Na: 0.114 0.503 0.827
Na: 0.176 0.003 0.389
Na: 0.250 0.250 0.000
Na: 0.324 0.713 0.827
Na: 0.386 0.213 0.389
Na: 0.471 0.706 0.176
Na: 0.529 0.294 0.824
Na: 0.614 0.787 0.611
Na: 0.676 0.287 0.173
Na: 0.750 0.750 0.000
Na: 0.824 0.997 0.611
Na: 0.886 0.497 0.173
Na: 0.971 0.794 0.765
Sb: 0.250 0.750 0.500
Sb: 0.750 0.250 0.500
Se: 0.063 0.868 0.603
Se: 0.158 0.901 0.059
Se: 0.235 0.632 0.195
Se: 0.265 0.460 0.397
Se: 0.342 0.401 0.742
Se: 0.437 0.040 0.805
Se: 0.563 0.960 0.195
Se: 0.658 0.599 0.258
Se: 0.735 0.540 0.603
Se: 0.765 0.368 0.805
Se: 0.842 0.099 0.941
Se: 0.937 0.132 0.397

## Properties
uncorrected formation energy: -11.5 eV per formula unit
SG: Ibam, No. 72
calculated total energy: -3.2721 eV/atom
crystal system: orthorhombic

=====

[3]
First-principles (PBE) data for a relaxed structure of Na2SbSe, as listed in Alexandria via LeMat-Bulk.

Unit cell a=6.687 b=6.687 c=6.687 alpha=101.43 beta=101.43 gamma=127.13
Element x y z (fractional)
Na: 0.083 0.125 0.458
Na: 0.375 0.917 0.042
Na: 0.667 0.625 0.542
Na: 0.875 0.333 0.958
Sb: 0.250 0.750 0.500
Sb: 0.500 0.500 0.000
Se: 0.000 0.000 0.000
Se: 0.750 0.250 0.500

## Properties
ΔE to the lowest computed polymorph: 0.000 eV per atom
uncorrected formation energy: -1.5 eV per formula unit
SG: I-42d, No. 122
calculated total energy: -2.9452 eV/atom
crystal system: tetragonal
DOS(E_F): 0.747 states/eV/atom

=====

[4]
First-principles (PBE) data for a relaxed structure of NaSb2Se4, as listed in Alexandria via LeMat-Bulk.

Unit cell a=8.376 b=8.376 c=8.376 alpha=118.51 beta=118.51 gamma=92.60
Element x y z (fractional)
Na: 0.000 0.000 0.000
Na: 0.750 0.250 0.500
Sb: 0.374 0.125 0.749
Sb: 0.375 0.626 0.751
Sb: 0.376 0.625 0.251
Sb: 0.875 0.624 0.249
Se: 0.128 0.851 0.721
Se: 0.130 0.407 0.279
Se: 0.149 0.870 0.277
Se: 0.157 0.380 0.779
Se: 0.593 0.872 0.723
Se: 0.601 0.378 0.221
Se: 0.620 0.399 0.777
Se: 0.622 0.843 0.223

## Properties
ΔE to the lowest computed polymorph: 0.007 eV per atom
uncorrected formation energy: -2.7 eV per formula unit
SG: I-42d, No. 122
calculated total energy: -3.7373 eV/atom
crystal system: tetragonal
DOS(E_F): 0.863 states/eV/atom

=====

[5]
First-principles (PBE) data for a relaxed structure of Na5SbSe6, as listed in Alexandria via LeMat-Bulk.

Unit cell a=8.404 b=8.404 c=6.318 alpha=100.17 beta=100.17 gamma=132.93
Element x y z (fractional)
Na: 0.000 0.000 0.000
Na: 0.325 0.675 0.500
Na: 0.337 0.663 0.000
Na: 0.663 0.337 0.000
Na: 0.675 0.325 0.500
Sb: 0.000 0.000 0.500
Se: 0.156 0.836 0.250
Se: 0.164 0.844 0.750
Se: 0.483 0.483 0.700
Se: 0.517 0.517 0.300
Se: 0.836 0.156 0.250
Se: 0.844 0.164 0.750

## Properties
ΔE to the lowest computed polymorph: 0.000 eV per atom
uncorrected formation energy: -7.7 eV per formula unit
SG: C2/m, No. 12
calculated total energy: -3.2795 eV/atom
crystal system: monoclinic
DOS(E_F): 0.147 states/eV/atom

=====

[6]
First-principles (PBE) data for a relaxed structure of Na2SbSe, as listed in Alexandria via LeMat-Bulk.

Unit cell a=5.207 b=5.207 c=5.207 alpha=60.00 beta=60.00 gamma=60.00
Element x y z (fractional)
Na: 0.250 0.250 0.250
Na: 0.750 0.750 0.750
Sb: 0.000 0.000 0.000
Se: 0.500 0.500 0.500

## Properties
ΔE to the lowest computed polymorph: 0.077 eV per atom
uncorrected formation energy: -1.2 eV per formula unit
SG: Fm-3m, No. 225
calculated total energy: -2.8678 eV/atom
crystal system: cubic
DOS(E_F): 0.648 states/eV/atom

=====

[7]
First-principles (PBE) data for a relaxed structure of Na3SbSe3, as listed in Alexandria via LeMat-Bulk.

Unit cell a=9.197 b=9.197 c=6.083 alpha=90.00 beta=90.00 gamma=120.00
Element x y z (fractional)
Na: 0.051 0.340 0.250
Na: 0.288 0.949 0.250
Na: 0.340 0.288 0.750
Na: 0.660 0.712 0.250
Na: 0.712 0.051 0.750
Na: 0.949 0.660 0.750
Sb: 0.333 0.667 0.750
Sb: 0.667 0.333 0.250
Se: 0.054 0.365 0.750
Se: 0.311 0.946 0.750
Se: 0.365 0.311 0.250
Se: 0.635 0.689 0.750
Se: 0.689 0.054 0.250
Se: 0.946 0.635 0.250

## Properties
uncorrected formation energy: -4.3 eV per formula unit
SG: P6_3/m, No. 176
calculated total energy: -3.2619 eV/atom
crystal system: hexagonal
DOS(E_F): 0.884 states/eV/atom

=====

[8]
First-principles (PBE) data for a relaxed structure of Na2Sb3Se8, as listed in Alexandria via LeMat-Bulk.

Unit cell a=8.329 b=8.329 c=6.816 alpha=103.17 beta=103.17 gamma=56.19
Element x y z (fractional)
Na: 0.237 0.237 0.152
Na: 0.763 0.763 0.848
Sb: 0.242 0.758 0.500
Sb: 0.500 0.500 0.000
Sb: 0.758 0.242 0.500
Se: 0.126 0.126 0.468
Se: 0.152 0.634 0.110
Se: 0.366 0.848 0.890
Se: 0.386 0.386 0.611
Se: 0.614 0.614 0.389
Se: 0.634 0.152 0.110
Se: 0.848 0.366 0.890
Se: 0.874 0.874 0.532

## Properties
uncorrected formation energy: -3.9 eV per formula unit
SG: C2/m, No. 12
calculated total energy: -3.6018 eV/atom
crystal system: monoclinic
DOS(E_F): 0.344 states/eV/atom

=====

[9]
First-principles (PBE) data for a relaxed structure of Na3SbSe, as listed in Alexandria via LeMat-Bulk.

Unit cell a=5.506 b=5.506 c=5.506 alpha=90.00 beta=90.00 gamma=90.00
Element x y z (fractional)
Na: 0.000 0.000 0.500
Na: 0.000 0.500 0.000
Na: 0.500 0.000 0.000
Sb: 0.500 0.500 0.500
Se: 0.000 0.000 0.000

## Properties
ΔE to the lowest computed polymorph: 0.000 eV per atom
uncorrected formation energy: -2.0 eV per formula unit
SG: Pm-3m, No. 221
calculated total energy: -2.7098 eV/atom
crystal system: cubic
DOS(E_F): 0.577 states/eV/atom

=====

[10]
First-principles (PBE) data for a relaxed structure of Na2SbSe2, as listed in Alexandria via LeMat-Bulk.

Unit cell a=10.162 b=10.162 c=6.105 alpha=90.00 beta=90.00 gamma=153.27
Element x y z (fractional)
Na: 0.033 0.967 0.500
Na: 0.197 0.803 0.721
Na: 0.803 0.197 0.221
Na: 0.967 0.033 0.000
Sb: 0.381 0.619 0.686
Sb: 0.619 0.381 0.186
Se: 0.188 0.812 0.214
Se: 0.412 0.588 0.263
Se: 0.588 0.412 0.763
Se: 0.812 0.188 0.714

## Properties
ΔE to the lowest computed polymorph: 0.042 eV per atom
uncorrected formation energy: -3.1 eV per formula unit
SG: Cmc2_1, No. 36
calculated total energy: -3.3562 eV/atom
crystal system: orthorhombic
DOS(E_F): 0.213 states/eV/atom

=====

[11]
First-principles (PBE) data for a relaxed structure of Na4SbSe5, as listed in Alexandria via LeMat-Bulk.

Unit cell a=7.366 b=7.366 c=7.366 alpha=100.23 beta=100.23 gamma=130.14
Element x y z (fractional)
Na: 0.103 0.709 0.812
Na: 0.291 0.103 0.394
Na: 0.709 0.897 0.606
Na: 0.897 0.291 0.188
Sb: 0.426 0.426 0.000
Se: 0.019 0.019 0.000
Se: 0.244 0.430 0.660
Se: 0.430 0.770 0.187
Se: 0.584 0.244 0.813
Se: 0.770 0.584 0.340

## Properties
uncorrected formation energy: -6.5 eV per formula unit
SG: I4, No. 79
calculated total energy: -3.3285 eV/atom
crystal system: tetragonal
DOS(E_F): 0.738 states/eV/atom

=====

[12]
First-principles (PBE) data for a relaxed structure of NaSb3Se4, as listed in Alexandria via LeMat-Bulk.

Unit cell a=11.833 b=6.138 c=5.970 alpha=90.00 beta=90.00 gamma=90.00
Element x y z (fractional)
Na: 0.000 0.246 0.000
Na: 0.500 0.754 0.500
Sb: 0.000 0.727 0.488
Sb: 0.249 0.254 0.496
Sb: 0.251 0.746 0.996
Sb: 0.500 0.273 0.988
Sb: 0.749 0.746 0.996
Sb: 0.751 0.254 0.496
Se: 0.000 0.274 0.500
Se: 0.000 0.752 0.029
Se: 0.243 0.705 0.487
Se: 0.257 0.295 0.987
Se: 0.500 0.248 0.529
Se: 0.500 0.726 0.000
Se: 0.743 0.295 0.987
Se: 0.757 0.705 0.487

## Properties
uncorrected formation energy: -2.8 eV per formula unit
SG: Pmn2_1, No. 31
calculated total energy: -3.8063 eV/atom
crystal system: orthorhombic
DOS(E_F): 0.385 states/eV/atom

=====

[13]
First-principles (PBE) data for a relaxed structure of NaSb4Se7, as listed in Alexandria via LeMat-Bulk.

Unit cell a=7.386 b=7.386 c=12.389 alpha=98.03 beta=98.03 gamma=30.68
Element x y z (fractional)
Na: 0.000 0.000 0.000
Sb: 0.101 0.101 0.415
Sb: 0.261 0.261 0.885
Sb: 0.415 0.415 0.580
Sb: 0.787 0.787 0.240
Se: 0.045 0.045 0.635
Se: 0.148 0.148 0.201
Se: 0.364 0.364 0.080
Se: 0.446 0.446 0.364
Se: 0.629 0.629 0.903
Se: 0.742 0.742 0.465
Se: 0.867 0.867 0.792

## Properties
uncorrected formation energy: -3.6 eV per formula unit
SG: Cm, No. 8
calculated total energy: -3.8157 eV/atom
crystal system: monoclinic
DOS(E_F): 0.119 states/eV/atom

=====

[14]
First-principles (PBE) data for a relaxed structure of Na3SbSe, as listed in Alexandria via LeMat-Bulk.

Unit cell a=5.823 b=5.823 c=5.823 alpha=90.00 beta=90.00 gamma=90.00
Element x y z (fractional)
Na: 0.000 0.000 0.500
Na: 0.000 0.500 0.000
Na: 0.500 0.000 0.000
Sb: 0.000 0.000 0.000
Se: 0.500 0.500 0.500

## Properties
ΔE to the lowest computed polymorph: 0.373 eV per atom
uncorrected formation energy: -0.1 eV per formula unit
SG: Pm-3m, No. 221
calculated total energy: -2.3368 eV/atom
crystal system: cubic
DOS(E_F): 0.694 states/eV/atom

=====

[15]
First-principles (PBE) data for a relaxed structure of Na3SbSe3, as listed in Alexandria via LeMat-Bulk.

Unit cell a=7.482 b=7.482 c=8.203 alpha=98.13 beta=98.13 gamma=110.56
Element x y z (fractional)
Na: 0.162 0.838 0.000
Na: 0.193 0.807 0.500
Na: 0.358 0.358 0.846
Na: 0.642 0.642 0.154
Na: 0.807 0.193 0.500
Na: 0.838 0.162 0.000
Sb: 0.304 0.304 0.369
Sb: 0.696 0.696 0.631
Se: 0.012 0.012 0.738
Se: 0.217 0.536 0.200
Se: 0.464 0.783 0.800
Se: 0.536 0.217 0.200
Se: 0.783 0.464 0.800
Se: 0.988 0.988 0.262

## Properties
uncorrected formation energy: -5.5 eV per formula unit
SG: C2/m, No. 12
calculated total energy: -3.4282 eV/atom
crystal system: monoclinic
DOS(E_F): 0.000 states/eV/atom

=====

[16]
First-principles (PBE) data for a relaxed structure of Na3Sb2Se4, as listed in Alexandria via LeMat-Bulk.

Unit cell a=7.621 b=7.621 c=9.529 alpha=90.75 beta=90.75 gamma=78.08
Element x y z (fractional)
Na: 0.126 0.874 0.750
Na: 0.264 0.477 0.931
Na: 0.477 0.264 0.431
Na: 0.523 0.736 0.569
Na: 0.736 0.523 0.069
Na: 0.874 0.126 0.250
Sb: 0.050 0.728 0.405
Sb: 0.272 0.950 0.095
Sb: 0.728 0.050 0.905
Sb: 0.950 0.272 0.595
Se: 0.016 0.217 0.932
Se: 0.217 0.016 0.432
Se: 0.228 0.524 0.605
Se: 0.476 0.772 0.895
Se: 0.524 0.228 0.105
Se: 0.772 0.476 0.395
Se: 0.783 0.984 0.568
Se: 0.984 0.783 0.068

## Properties
ΔE to the lowest computed polymorph: 0.024 eV per atom
uncorrected formation energy: -5.4 eV per formula unit
SG: C2/c, No. 15
calculated total energy: -3.5097 eV/atom
crystal system: monoclinic
DOS(E_F): 0.022 states/eV/atom

=====

[17]
First-principles (PBE) data for a relaxed structure of Na2SbSe2, as listed in Alexandria via LeMat-Bulk.

Unit cell a=7.865 b=7.865 c=3.992 alpha=90.00 beta=90.00 gamma=90.00
Element x y z (fractional)
Na: 0.135 0.365 0.000
Na: 0.365 0.865 0.000
Na: 0.635 0.135 0.000
Na: 0.865 0.635 0.000
Sb: 0.000 0.000 0.500
Sb: 0.500 0.500 0.500
Se: 0.174 0.674 0.500
Se: 0.326 0.174 0.500
Se: 0.674 0.826 0.500
Se: 0.826 0.326 0.500

## Properties
ΔE to the lowest computed polymorph: 0.000 eV per atom
uncorrected formation energy: -3.3 eV per formula unit
SG: P4/mbm, No. 127
calculated total energy: -3.3979 eV/atom
crystal system: tetragonal
DOS(E_F): 0.145 states/eV/atom

=====

[18]
First-principles (PBE) data for a relaxed structure of Na3SbSe2, as listed in Alexandria via LeMat-Bulk.

Unit cell a=8.554 b=8.554 c=8.554 alpha=130.52 beta=70.45 gamma=133.23
Element x y z (fractional)
Na: 0.022 0.750 0.272
Na: 0.250 0.250 0.000
Na: 0.478 0.750 0.728
Na: 0.522 0.250 0.272
Na: 0.750 0.750 0.000
Na: 0.978 0.250 0.728
Sb: 0.000 0.500 0.500
Sb: 0.500 0.000 0.500
Se: 0.138 0.207 0.346
Se: 0.362 0.707 0.069
Se: 0.638 0.293 0.931
Se: 0.862 0.793 0.654

## Properties
uncorrected formation energy: -4.2 eV per formula unit
SG: Ibam, No. 72
calculated total energy: -3.2067 eV/atom
crystal system: orthorhombic
DOS(E_F): 0.234 states/eV/atom

=====

[19]
First-principles (PBE) data for a relaxed structure of NaSb6Se8, as listed in Alexandria via LeMat-Bulk.

Unit cell a=7.831 b=7.831 c=7.831 alpha=78.63 beta=78.63 gamma=78.63
Element x y z (fractional)
Na: 0.000 0.000 0.000
Sb: 0.200 0.631 0.382
Sb: 0.369 0.618 0.800
Sb: 0.382 0.200 0.631
Sb: 0.618 0.800 0.369
Sb: 0.631 0.382 0.200
Sb: 0.800 0.369 0.618
Se: 0.089 0.368 0.792
Se: 0.208 0.911 0.632
Se: 0.295 0.295 0.295
Se: 0.368 0.792 0.089
Se: 0.632 0.208 0.911
Se: 0.705 0.705 0.705
Se: 0.792 0.089 0.368
Se: 0.911 0.632 0.208

## Properties
uncorrected formation energy: -2.7 eV per formula unit
SG: R-3, No. 148
calculated total energy: -3.7766 eV/atom
crystal system: trigonal
DOS(E_F): 0.364 states/eV/atom

=====

[20]
First-principles (PBE) data for a relaxed structure of Na3Sb2Se4, as listed in Alexandria via LeMat-Bulk.

Unit cell a=9.048 b=9.048 c=8.365 alpha=109.02 beta=109.02 gamma=59.39
Element x y z (fractional)
Na: 0.115 0.885 0.750
Na: 0.264 0.500 0.076
Na: 0.500 0.264 0.576
Na: 0.500 0.736 0.424
Na: 0.736 0.500 0.924
Na: 0.885 0.115 0.250
Sb: 0.044 0.390 0.634
Sb: 0.390 0.044 0.134
Sb: 0.610 0.956 0.866
Sb: 0.956 0.610 0.366
Se: 0.109 0.229 0.939
Se: 0.229 0.109 0.439
Se: 0.262 0.596 0.457
Se: 0.404 0.738 0.043
Se: 0.596 0.262 0.957
Se: 0.738 0.404 0.543
Se: 0.771 0.891 0.561
Se: 0.891 0.771 0.061

## Properties
ΔE to the lowest computed polymorph: 0.000 eV per atom
uncorrected formation energy: -5.7 eV per formula unit
SG: C2/c, No. 15
calculated total energy: -3.5336 eV/atom
crystal system: monoclinic
DOS(E_F): 0.271 states/eV/atom